Record 1
The following is a GGA-PBE calculation of crystalline CePd2Cl8 at its relaxed geometry, from the Alexandria database.

Results
Density ... 3.1 g/cm3
E ... -3.7348 eV per atom

Cell and atoms, written as CIF:
```
data_CePd2Cl8
_chemical_formula_sum 'Ce2 Pd4 Cl16'
_symmetry_space_group_name_H-M 'C 1 2/m 1'
_symmetry_Int_Tables_number 12
_cell_length_a 9.888
_cell_length_b 10.909
_cell_length_c 6.813
_cell_angle_alpha 90.00
_cell_angle_beta 110.52
_cell_angle_gamma 90.00
loop_
_symmetry_equiv_pos_as_xyz
'x,y,z'
'-x,-y,-z'
'-x,y,-z'
'x,-y,z'
'x+1/2,y+1/2,z'
'-x+1/2,-y+1/2,-z'
'-x+1/2,y+1/2,-z'
'x+1/2,-y+1/2,z'
loop_
_atom_site_label
_atom_site_type_symbol
_atom_site_fract_x
_atom_site_fract_y
_atom_site_fract_z
_atom_site_occupancy
Ce1 Ce 0.000 0.000 0.000 1
Pd1 Pd 0.150 0.000 0.625 1
Cl1 Cl 0.089 0.174 0.801 1
Cl2 Cl 0.098 0.500 0.163 1
Cl3 Cl 0.243 0.000 0.337 1
```

Record 2
The following is a GGA-PBE calculation of crystalline RbCePdCl6 at its relaxed geometry, from the Alexandria database.

Results
Density ... 3.0 g/cm3
E ... -4.1293 eV per atom

Cell and atoms, written as CIF:
```
data_RbCePdCl6
_chemical_formula_sum 'Rb2 Ce2 Pd2 Cl12'
_symmetry_space_group_name_H-M 'P -3 1 c'
_symmetry_Int_Tables_number 163
_symmetry_space_group_name_Hall '-P 3 2c'
_cell_length_a 6.7796
_cell_length_b 6.7796
_cell_length_c 15.1542
_cell_angle_alpha 90.00
_cell_angle_beta 90.00
_cell_angle_gamma 120.00
loop_
_atom_site_label
_atom_site_type_symbol
_atom_site_fract_x
_atom_site_fract_y
_atom_site_fract_z
_atom_site_occupancy
Rb1 Rb 0.0000 0.0000 0.0000 1
Ce1 Ce 0.3333 0.6667 0.2500 1
Pd1 Pd 0.3333 0.6667 0.7500 1
Cl1 Cl 0.0110 0.3689 0.6479 1
```

So what do the calculations give for formation energy without anion corrections? Going down the list: -0.91, -1.55 eV/atom.